Entry 1:
# MnCuAu2 | Alexandria | PBEsol | optimized geometry
# DFT formation energy   0 kJ per mole of atoms
data_MnCuAu2
_cell_length_a 4.071
_cell_length_b 4.071
_cell_length_c 7.154
_cell_angle_alpha 90.00
_cell_angle_beta 90.00
_cell_angle_gamma 90.00
_symmetry_space_group_name_H-M 'I 4/m m m'
_symmetry_Int_Tables_number 139
_symmetry_space_group_name_Hall '-I 4 2'
loop_
_atom_site_label
_atom_site_type_symbol
_atom_site_fract_x
_atom_site_fract_y
_atom_site_fract_z
Mn1 Mn 0.000 0.000 0.000
Cu1 Cu 0.000 0.000 0.500
Au1 Au 0.000 0.500 0.250

=====

Entry 2:
# MnCu2Au | Alexandria | PBEsol | optimized geometry
# DFT formation energy   9 kJ per mole of atoms
data_MnCu2Au
_cell_length_a 3.066
_cell_length_b 3.066
_cell_length_c 5.713
_cell_angle_alpha 90.00
_cell_angle_beta 90.00
_cell_angle_gamma 90.00
_symmetry_space_group_name_H-M 'P 4 m m'
_symmetry_Int_Tables_number 99
loop_
_symmetry_equiv_pos_as_xyz
'x,y,z'
'-y,x,z'
'-x,-y,z'
'y,-x,z'
'-x,y,z'
'y,x,z'
'x,-y,z'
'-y,-x,z'
loop_
_atom_site_label
_atom_site_type_symbol
_atom_site_fract_x
_atom_site_fract_y
_atom_site_fract_z
Mn1 Mn 0.000 0.000 0.000
Cu1 Cu 0.000 0.000 0.544
Cu2 Cu 0.500 0.500 0.761
Au1 Au 0.500 0.500 0.276

=====

Entry 3:
# MnCu2Au | Alexandria | PBEsol | optimized geometry
# DFT formation energy   5 kJ per mole of atoms
data_MnCu2Au
_cell_length_a 3.753
_cell_length_b 3.753
_cell_length_c 7.590
_cell_angle_alpha 90.00
_cell_angle_beta 90.00
_cell_angle_gamma 90.00
_symmetry_space_group_name_H-M 'I -4 m 2'
_symmetry_Int_Tables_number 119
_symmetry_space_group_name_Hall 'I -4 -2'
loop_
_atom_site_label
_atom_site_type_symbol
_atom_site_fract_x
_atom_site_fract_y
_atom_site_fract_z
Mn1 Mn 0.000 0.000 0.000
Cu1 Cu 0.000 0.000 0.500
Cu2 Cu 0.000 0.500 0.750
Au1 Au 0.000 0.500 0.250

=====

Entry 4:
# Ta2MnCuAu | Alexandria | PBEsol | optimized geometry
# DFT formation energy   171 kJ per mole of atoms
data_Ta2MnCuAu
_cell_length_a 4.894
_cell_length_b 4.894
_cell_length_c 4.568
_cell_angle_alpha 90.00
_cell_angle_beta 90.00
_cell_angle_gamma 90.00
_symmetry_space_group_name_H-M 'P 4/m m m'
_symmetry_Int_Tables_number 123
_symmetry_space_group_name_Hall '-P 4 2'
loop_
_atom_site_label
_atom_site_type_symbol
_atom_site_fract_x
_atom_site_fract_y
_atom_site_fract_z
Ta1 Ta 0.000 0.500 0.000
Mn1 Mn 0.000 0.000 0.500
Cu1 Cu 0.500 0.500 0.500
Au1 Au 0.500 0.500 0.000